*w*
SrNd2Sm (PBE, relaxed); space group = No. 166; total moment = 0.00 μB/f.u.
1.0
3.694 0.000 0.000
1.847 3.199 0.000
1.847 1.066 13.144
Nd Sm Sr
2 1 1
Direct
0.093 0.093 0.722 Nd
0.907 0.907 0.278 Nd
0.500 0.500 0.500 Sm
0.000 0.000 0.000 Sr

=====

*x*
SrNd2Sm (PBE, relaxed); space group = No. 225; total moment = 0.81 μB/f.u.
1.0
5.998 0.000 0.000
2.999 5.194 0.000
2.999 1.731 4.897
Nd Sm Sr
2 1 1
Direct
0.750 0.750 0.750 Nd
0.250 0.250 0.250 Nd
0.500 0.500 0.500 Sm
0.000 0.000 0.000 Sr

=====

Most stable: *w* (next structure +41 meV per atom)

=====

*w*
SrNd2Sm (PBE, relaxed); space group = No. 123; total moment = 0.00 μB/f.u.
1.0
5.316 0.000 0.000
0.000 5.330 0.000
0.000 0.000 5.330
Nd Sr Sm
2 1 1
Direct
0.000 0.500 0.000 Nd
0.000 0.000 0.500 Nd
0.500 0.000 0.000 Sr
0.500 0.500 0.500 Sm

=====

*x*
SrNd2Sm (PBE, relaxed); space group = No. 160; total moment = 0.00 μB/f.u.
1.0
-1.132 0.015 3.589
2.240 -1.389 2.685
5.475 10.798 3.654
Nd Sr Sm
2 1 1
Direct
0.256 0.256 0.232 Nd
0.077 0.077 0.768 Nd
0.500 0.500 0.499 Sr
0.666 0.666 0.001 Sm

=====

Most stable: *x* (next structure +66 meV per atom)

=====

*w*
TbNd5Sm4 (PBE, relaxed); space group = No. 79; total moment = 0.00 μB/f.u.
1.0
-1.373 5.951 1.210
-6.195 0.772 5.189
4.123 2.915 6.356
Nd Sm Tb
5 4 1
Direct
0.688 0.000 0.000 Nd
0.151 0.999 0.622 Nd
0.772 0.001 0.378 Nd
0.151 0.622 0.001 Nd
0.773 0.378 0.999 Nd
0.763 0.675 0.674 Sm
0.438 0.674 0.325 Sm
0.437 0.326 0.675 Sm
0.112 0.325 0.326 Sm
0.224 0.000 0.000 Tb

=====

*x*
TbNd5Sm4 (PBE, relaxed); space group = No. 2; total moment = 0.00 μB/f.u.
1.0
-2.086 2.976 0.319
-7.165 -4.404 -6.014
-1.151 -3.963 8.707
Nd Sm Tb
5 4 1
Direct
0.100 0.803 0.199 Nd
0.900 0.197 0.801 Nd
0.500 0.500 0.000 Nd
0.300 0.400 0.600 Nd
0.700 0.600 0.400 Nd
0.700 0.100 0.399 Sm
0.100 0.297 0.200 Sm
0.300 0.900 0.601 Sm
0.900 0.703 0.800 Sm
0.500 0.000 0.000 Tb

=====

Most stable: *x* (next structure +225 meV per atom)

=====

*w*
TbNd7Sm4 (PBE, relaxed); space group = No. 12; total moment = 0.54 μB/f.u.
1.0
6.075 0.000 0.000
3.037 9.187 2.012
3.037 1.868 7.975
Nd Sm Tb
7 4 1
Direct
0.208 0.774 0.810 Nd
0.082 0.561 0.275 Nd
0.210 0.123 0.458 Nd
0.918 0.439 0.725 Nd
0.500 0.000 0.000 Nd
0.792 0.226 0.190 Nd
0.790 0.877 0.542 Nd
0.673 0.611 0.043 Sm
0.573 0.301 0.552 Sm
0.427 0.699 0.448 Sm
0.327 0.389 0.957 Sm
0.000 0.000 0.000 Tb

=====

*x*
TbNd7Sm4 (PBE, relaxed); space group = No. 2; total moment = 0.00 μB/f.u.
1.0
7.049 1.890 0.919
5.255 7.795 2.531
-1.048 -0.472 9.045
Sm Nd Tb
4 7 1
Direct
0.279 0.221 0.333 Sm
0.529 0.722 0.331 Sm
0.721 0.779 0.667 Sm
0.471 0.278 0.669 Sm
0.750 0.500 0.001 Nd
0.250 0.500 0.999 Nd
0.500 0.000 0.000 Nd
0.779 0.221 0.333 Nd
0.029 0.721 0.332 Nd
0.971 0.279 0.668 Nd
0.221 0.779 0.667 Nd
0.000 0.000 0.000 Tb

=====

Most stable: *x* (next structure +197 meV per atom)